First-principles (GGA-PBEsol) data for crystalline AlSi2Te at its relaxed geometry, as listed in Alexandria via LeMat-Bulk.

Computed properties:
- ΔE_f (raw): 0.38 eV per atom

abc: 5.8531 5.8531 12.0414
angles: 90.00 90.00 90.00
With the nearest neighbours (Å) after each atom.
Space group I-42d (No. 122)
Symmetry-distinct sites (fractional):
Al 0.0000 0.0000 0.0000 (multiplicity 4)  4 Si 2.43
Si 0.2106 0.2500 0.1250 (multiplicity 8)  2 Al 2.43, 2 Te 2.70
Te 0.0000 0.0000 0.5000 (multiplicity 4)  4 Si 2.70

First-principles (GGA-PBEsol) data for crystalline GaMo2C at its relaxed geometry, as listed in Alexandria via LeMat-Bulk.

Computed properties:
- DFT formation energy: -0.1922 eV per atom

abc: 3.0028 3.0028 19.8474
angles: 90.00 90.00 120.00
With the nearest neighbours (Å) after each atom.
Space group R3m (No. 160, hexagonal axes)
Symmetry-distinct sites (fractional):
Ga 0.0000 0.0000 0.0000 (multiplicity 3)  6 Mo 2.72-2.75, 6 Ga 3.00
Mo 0.0000 0.0000 0.5609 (multiplicity 3)  3 C 2.11
Mo 0.0000 0.0000 0.7743 (multiplicity 3)  3 C 2.10
C 0.0000 0.0000 0.1671 (multiplicity 3)  6 Mo 2.10-2.11

First-principles (GGA-PBEsol) data for crystalline AsOs3 at its relaxed geometry, as listed in Alexandria via LeMat-Bulk.

Computed properties:
- DFT formation energy: 0.5677 eV per atom

abc: 5.7415 7.1438 2.7874
angles: 90.00 90.00 90.00
With the nearest neighbours (Å) after each atom.
Space group Cmmm (No. 65)
Symmetry-distinct sites (fractional):
As 0.0000 0.0000 0.0000 (multiplicity 2)  10 Os 2.68-2.87, 2 As 2.79
Os 0.0000 0.5000 0.0000 (multiplicity 2)  10 Os 2.68-2.79, 2 As 2.87
Os 0.2500 0.2500 0.5000 (multiplicity 4)  4 As 2.68, 8 Os 2.68-2.87

Number 1: calculated volume 412.5 Å³/cell. Number 2: calculated volume 155.0 Å³/cell. Number 3: calculated volume 114.3 Å³/cell.